Record 1
Compound: ZrMoS2
Source: Alexandria via LeMat-Bulk
Functional: PBE
Structure: relaxed

Lattice parameters (Å, degrees): 3.1459 3.1459 25.4382 90.00 90.00 120.00
Closest atoms and distances in Å follow each position.
Space group R-3m (No. 166, hexagonal axes)
Asymmetric unit:
1 Zr 0.0000 0.0000 0.0000 x3  2 S 2.60
2 Mo 0.0000 0.0000 0.5000 x3  6 S 2.45
3 S 0.0000 0.0000 0.1021 x6  3 Mo 2.45, 1 Zr 2.60

Calculated values
* raw formation energy: -11.14 kcal/mol of atoms
* crystal system: trigonal
* DOS at the Fermi energy: 0.71 states/eV per atom
* raw total energy: -0.27164 hartree per atom

Record 2
Compound: Zr3MoS
Source: Alexandria via LeMat-Bulk
Functional: PBE
Structure: relaxed

Lattice parameters (Å, degrees): 4.7760 4.7760 4.7760 90.00 90.00 90.00
Closest atoms and distances in Å follow each position.
Space group Pm-3m (No. 221)
Asymmetric unit:
1 Zr 0.0000 0.0000 0.5000 x3  2 S 2.39
2 Mo 0.5000 0.5000 0.5000 x1  12 Zr 3.38
3 S 0.0000 0.0000 0.0000 x1  6 Zr 2.39

Calculated values
* raw formation energy: -1.80 kcal/mol of atoms
* crystal system: cubic
* DOS at the Fermi energy: 1.07 states/eV per atom
* raw total energy: -0.30129 hartree per atom

Record 3
Compound: ZrMoS2
Source: Alexandria via LeMat-Bulk
Functional: PBE
Structure: relaxed

Lattice parameters (Å, degrees): 4.8043 4.8043 13.8851 90.00 90.00 90.00
Closest atoms and distances in Å follow each position.
Space group I-42d (No. 122)
Asymmetric unit:
1 Zr 0.0000 0.0000 0.0000 x4  4 S 2.52
2 Mo 0.0000 0.0000 0.5000 x4  4 S 2.35
3 S 0.2148 0.2500 0.6250 x8  2 Mo 2.35, 2 Zr 2.52

Calculated values
* raw formation energy: -12.33 kcal/mol of atoms
* crystal system: tetragonal
* DOS at the Fermi energy: 0.66 states/eV per atom
* raw total energy: -0.27354 hartree per atom

Record 4
Compound: Zr3MoS
Source: Alexandria via LeMat-Bulk
Functional: PBE
Structure: relaxed

Lattice parameters (Å, degrees): 5.0410 5.0410 5.0410 90.00 90.00 90.00
Closest atoms and distances in Å follow each position.
Space group Pm-3m (No. 221)
Asymmetric unit:
1 Zr 0.0000 0.0000 0.5000 x3  2 Mo 2.52
2 Mo 0.0000 0.0000 0.0000 x1  6 Zr 2.52
3 S 0.5000 0.5000 0.5000 x1  12 Zr 3.56

Calculated values
* raw formation energy: 17.06 kcal/mol of atoms
* crystal system: cubic
* DOS at the Fermi energy: 1.52 states/eV per atom
* raw total energy: -0.27124 hartree per atom

Record 5
Compound: SbMo3
Source: Alexandria via LeMat-Bulk
Functional: PBE
Structure: relaxed

Lattice parameters (Å, degrees): 4.0804 4.0804 4.0804 90.00 90.00 90.00
Closest atoms and distances in Å follow each position.
Space group Pm-3m (No. 221)
Asymmetric unit:
1 Sb 0.0000 0.0000 0.0000 x1  12 Mo 2.89
2 Mo 0.0000 0.5000 0.5000 x3  8 Mo 2.89, 4 Sb 2.89

Calculated values
* raw formation energy: 9.24 kcal/mol of atoms
* crystal system: cubic
* DOS at the Fermi energy: 1.33 states/eV per atom
* raw total energy: -0.32167 hartree per atom

Record 6
Compound: Sb5Mo3
Source: Alexandria via LeMat-Bulk
Functional: PBE
Structure: relaxed

Lattice parameters (Å, degrees): 10.2437 10.2437 6.5738 90.00 90.00 90.00
Closest atoms and distances in Å follow each position.
Space group I4cm (No. 108)
Asymmetric unit:
1 Sb 0.0000 0.5000 0.0000 x4  4 Mo 2.84-3.03, 4 Sb 3.18
2 Sb 0.0711 0.2125 0.3565 x16  5 Mo 2.81-2.89, 1 Sb 3.13
3 Mo 0.0000 0.0000 0.1091 x4  8 Sb 2.81-2.83
4 Mo 0.1674 0.3326 0.7245 x8  8 Sb 2.84-3.03

Calculated values
* raw formation energy: 7.22 kcal/mol of atoms
* crystal system: tetragonal
* DOS at the Fermi energy: 0.73 states/eV per atom
* raw total energy: -0.23244 hartree per atom

Record 7
Compound: SbMo3
Source: Alexandria via LeMat-Bulk
Functional: PBE
Structure: relaxed

Lattice parameters (Å, degrees): 4.9941 4.9941 4.9941 90.00 90.00 90.00
Closest atoms and distances in Å follow each position.
Space group Pm-3m (No. 221)
Asymmetric unit:
1 Sb 0.0000 0.0000 0.0000 x1  6 Mo 2.50
2 Mo 0.0000 0.0000 0.5000 x3  2 Sb 2.50

Calculated values
* raw formation energy: 70.77 kcal/mol of atoms
* crystal system: cubic
* DOS at the Fermi energy: 2.17 states/eV per atom
* raw total energy: -0.22361 hartree per atom

Record 8
Compound: Sb7Mo3
Source: Alexandria via LeMat-Bulk
Functional: PBE
Structure: relaxed

Lattice parameters (Å, degrees): 9.6585 9.6585 9.6585 90.00 90.00 90.00
Closest atoms and distances in Å follow each position.
Space group Im-3m (No. 229)
Asymmetric unit:
1 Sb 0.0000 0.2500 0.5000 x12  4 Mo 2.86
2 Sb 0.1609 0.1609 0.1609 x16  3 Mo 2.81, 4 Sb 2.98-3.11
3 Mo 0.0000 0.0000 0.3421 x12  8 Sb 2.81-2.86, 1 Mo 3.05

Calculated values
* raw formation energy: -0.48 kcal/mol of atoms
* crystal system: cubic
* DOS at the Fermi energy: 1.24 states/eV per atom
* raw total energy: -0.22623 hartree per atom

Record 9
Compound: SbMo3
Source: Alexandria via LeMat-Bulk
Functional: PBE
Structure: relaxed

Lattice parameters (Å, degrees): 3.0794 4.1685 5.4479 90.00 90.00 90.00
Closest atoms and distances in Å follow each position.
Space group Pmmm (No. 47)
Asymmetric unit:
1 Sb 0.0000 0.0000 0.0000 x1  10 Mo 2.72-3.01
2 Mo 0.0000 0.0000 0.5000 x1  2 Sb 2.72, 8 Mo 2.85
3 Mo 0.5000 0.5000 0.2802 x2  1 Mo 2.39

Calculated values
* raw formation energy: 6.36 kcal/mol of atoms
* crystal system: orthorhombic
* DOS at the Fermi energy: 0.74 states/eV per atom
* raw total energy: -0.32627 hartree per atom

Record 10
Compound: SbMo3
Source: Alexandria via LeMat-Bulk
Functional: PBE
Structure: relaxed

Lattice parameters (Å, degrees): 3.1528 3.1528 8.2153 90.00 90.00 120.00
Closest atoms and distances in Å follow each position.
Space group P-6m2 (No. 187)
Asymmetric unit:
1 Sb 0.0000 0.0000 0.0000 x1  6 Mo 2.81
2 Mo 0.0000 0.0000 0.5000 x1  6 Mo 2.68
3 Mo 0.3333 0.6667 0.2598 x2  3 Mo 2.68, 3 Sb 2.81

Calculated values
* raw formation energy: 9.12 kcal/mol of atoms
* crystal system: hexagonal
* DOS at the Fermi energy: 0.73 states/eV per atom
* raw total energy: -0.32186 hartree per atom

Record 11
Compound: Sb5Mo
Source: Alexandria via LeMat-Bulk
Functional: PBE
Structure: relaxed

Lattice parameters (Å, degrees): 6.0638 6.0638 5.5687 90.00 90.00 120.00
Closest atoms and distances in Å follow each position.
Space group P6/mmm (No. 191)
Asymmetric unit:
1 Sb 0.0000 0.5000 0.0000 x3  8 Sb 3.03-3.29
2 Sb 0.3333 0.6667 0.5000 x2  9 Sb 3.29-3.50, 3 Mo 3.50
3 Mo 0.0000 0.0000 0.5000 x1  6 Sb 3.50

Calculated values
* raw formation energy: 21.44 kcal/mol of atoms
* crystal system: hexagonal
* DOS at the Fermi energy: 0.79 states/eV per atom
* raw total energy: -0.15842 hartree per atom

Record 12
Compound: Sb3Mo2
Source: Alexandria via LeMat-Bulk
Functional: PBE
Structure: relaxed

Lattice parameters (Å, degrees): 11.4326 14.6041 5.2360 90.00 90.00 90.00
Closest atoms and distances in Å follow each position.
Space group Fdd2 (No. 43)
Asymmetric unit:
1 Sb 0.0000 0.0000 0.0000 x8  4 Mo 2.73-2.83
2 Sb 0.1118 0.3189 0.7737 x16  4 Mo 2.69-2.85
3 Mo 0.0253 0.3308 0.2834 x16  6 Sb 2.69-2.85

Calculated values
* raw formation energy: 7.95 kcal/mol of atoms
* crystal system: orthorhombic
* DOS at the Fermi energy: 1.01 states/eV per atom
* raw total energy: -0.23744 hartree per atom

Record 13
Compound: SbMo3
Source: Alexandria via LeMat-Bulk
Functional: PBE
Structure: relaxed

Lattice parameters (Å, degrees): 3.2811 3.2811 6.3215 90.00 90.00 90.00
Closest atoms and distances in Å follow each position.
Space group P4/mmm (No. 123)
Asymmetric unit:
1 Sb 0.0000 0.0000 0.0000 x1  10 Mo 2.84-3.16
2 Mo 0.0000 0.0000 0.5000 x1  8 Mo 2.77
3 Mo 0.5000 0.5000 0.2600 x2  5 Mo 2.77-3.03, 4 Sb 2.84

Calculated values
* raw formation energy: 6.14 kcal/mol of atoms
* crystal system: tetragonal
* DOS at the Fermi energy: 1.17 states/eV per atom
* raw total energy: -0.32662 hartree per atom